(1)
# Sr2OsN

Crystalline Sr2OsN at its relaxed geometry (PBE, Alexandria).

Output
Calculated volume   27.33 Å³ per atom
E_form (uncorrected)   -0.265 eV/atom
Space group   I-42d (122)
Crystal system   tetragonal
DOS at the Fermi energy   6.5 states/eV/cell
Magnetic moment   0.00 μB/f.u.

Cell: 10.712 10.712 7.811 Å, 46.71 46.71 90.00°
Fractional coordinates of all 8 atoms:
N1 0.250 0.750 0.500
N2 0.500 0.500 0.000
Sr1 0.875 0.675 0.750
Sr2 0.425 0.125 0.250
Sr3 0.375 0.575 0.750
Sr4 0.325 0.625 0.250
Os1 0.000 0.000 0.000
Os2 0.750 0.250 0.500

(2)
# Rh3AuSe

Crystalline Rh3AuSe at its relaxed geometry (PBE, Alexandria).

Output
Calculated volume   23.38 Å³ per atom
E_form (uncorrected)   1.649 eV/atom
Space group   Pm-3m (221)
Crystal system   cubic
ΔE to the lowest computed polymorph   1.1153 eV per atom
DOS at the Fermi energy   13.1 states/eV/cell
Magnetic moment   3.51 μB/f.u.

Cell: 4.889 4.889 4.889 Å, 90.00 90.00 90.00°
Site moments in Bohr magnetons follow the coordinates.
Fractional coordinates of all 5 atoms:
Rh1 0.500 0.000 0.000  0.72
Rh2 0.000 0.000 0.500  1.18
Rh3 0.000 0.500 0.000  1.06
Au1 0.000 0.000 0.000  0.21
Se1 0.500 0.500 0.500  0.17

(3)
# Li2SiH6Pd

Crystalline Li2SiH6Pd at its relaxed geometry (PBE, Alexandria).

Output
Calculated volume   8.53 Å³ per atom
Space group   P1 (1)
Crystal system   triclinic
Energy   -3.54 eV per atom
DOS at the Fermi energy   1.2 states/eV/cell
Magnetic moment   0.00 μB/f.u.

Cell: 4.830 4.839 5.067 Å, 61.18 61.60 59.72°
Fractional coordinates of all 10 atoms:
H1 0.483 0.640 0.788
H2 0.089 0.478 0.789
H3 0.566 0.162 0.267
H4 0.157 0.007 0.269
H5 0.008 0.568 0.265
H6 0.640 0.087 0.791
Li1 0.044 0.044 0.867
Li2 0.534 0.534 0.402
Si1 0.320 0.320 0.039
Pd1 0.820 0.821 0.538

(4)
# LaDy5Ho6

Crystalline LaDy5Ho6 at its relaxed geometry (PBE, Alexandria).

Output
Calculated volume   31.64 Å³ per atom
Space group   C2/m (12)
Formation energy from the elements   20.7 meV per atom
Crystal system   monoclinic
DOS at the Fermi energy   15.6 states/eV/cell
Magnetic moment   0.00 μB/f.u.

Cell: 6.153 6.149 11.768 Å, 85.02 80.01 59.98°
Fractional coordinates of all 12 atoms:
Dy1 0.500 0.000 0.500
Dy2 0.167 0.666 0.500
Dy3 0.833 0.334 0.500
Dy4 0.667 0.667 0.000
Dy5 0.333 0.333 0.000
Ho1 0.749 0.000 0.748
Ho2 0.418 0.665 0.748
Ho3 0.916 0.665 0.252
Ho4 0.582 0.335 0.252
Ho5 0.084 0.335 0.748
Ho6 0.251 0.000 0.252
La1 0.000 0.000 0.000

(5)
# Co2Br3

Crystalline Co2Br3 at its relaxed geometry (PBE, Alexandria).

Output
Calculated volume   24.63 Å³ per atom
E_form (uncorrected)   -0.067 eV/atom
Space group   R-3m (166)
Crystal system   trigonal
DOS at the Fermi energy   8.8 states/eV/cell
Magnetic moment   5.00 μB/f.u.

Cell: 10.267 10.267 10.267 Å, 21.13 21.13 21.13°
Site moments in Bohr magnetons follow the coordinates.
Fractional coordinates of all 5 atoms:
Br1 0.000 0.000 0.000  0.12
Br2 0.766 0.766 0.766  0.15
Br3 0.234 0.234 0.234  0.15
Co1 0.607 0.607 0.607  2.19
Co2 0.393 0.393 0.393  2.19

(6)
# BaSc2Ag2

Crystalline BaSc2Ag2 at its relaxed geometry (PBE, Alexandria).

Output
Calculated volume   28.18 Å³ per atom
Space group   I4/mmm (139)
Formation energy from the elements   -50.7 meV per atom
Crystal system   tetragonal
ΔE to the lowest computed polymorph   0.0000 eV per atom
DOS at the Fermi energy   5.8 states/eV/cell
Magnetic moment   0.00 μB/f.u.

Cell: 4.778 4.778 7.036 Å, 70.15 70.15 90.00°
Fractional coordinates of all 5 atoms:
Ag1 0.382 0.382 0.235
Ag2 0.618 0.618 0.765
Ba1 0.000 0.000 0.000
Sc1 0.750 0.250 0.500
Sc2 0.250 0.750 0.500

(7)
# Pm3Nd6Dy2Ho

Crystalline Pm3Nd6Dy2Ho at its relaxed geometry (PBE, Alexandria).

Output
Calculated volume   33.98 Å³ per atom
Space group   C2/m (12)
Formation energy from the elements   13.4 meV per atom
Crystal system   monoclinic
DOS at the Fermi energy   15.9 states/eV/cell
Magnetic moment   0.00 μB/f.u.

Cell: 6.312 6.312 12.002 Å, 95.02 95.02 120.00°
Fractional coordinates of all 12 atoms:
Nd1 0.584 0.917 0.753
Nd2 0.917 0.584 0.753
Nd3 0.416 0.083 0.247
Nd4 0.083 0.416 0.247
Nd5 0.250 0.250 0.753
Nd6 0.750 0.750 0.247
Dy1 0.667 0.333 0.000
Dy2 0.333 0.667 0.000
Pm1 0.500 0.500 0.500
Pm2 0.833 0.167 0.500
Pm3 0.167 0.833 0.500
Ho1 0.000 0.000 0.000

(8)
# YInBr2

Crystalline YInBr2 at its relaxed geometry (PBE, Alexandria).

Output
Calculated volume   29.50 Å³ per atom
E_form (uncorrected)   -0.851 eV/atom
Space group   P2/m (10)
Crystal system   monoclinic
ΔE to the lowest computed polymorph   0.1882 eV per atom
DOS at the Fermi energy   1.5 states/eV/cell
Magnetic moment   0.00 μB/f.u.

Cell: 4.864 3.906 6.219 Å, 86.84 90.00 90.00°
Fractional coordinates of all 4 atoms:
Br1 0.000 0.565 0.513
Br2 0.000 0.935 0.987
In1 0.500 0.250 0.250
Y1 0.500 0.750 0.750

(9)
# SmDy2Bi

Crystalline SmDy2Bi at its relaxed geometry (PBE, Alexandria).

Output
Calculated volume   34.16 Å³ per atom
Space group   R3m (160)
Formation energy from the elements   -170.3 meV per atom
Crystal system   trigonal
ΔE to the lowest computed polymorph   0.2774 eV per atom
DOS at the Fermi energy   5.0 states/eV/cell
Magnetic moment   0.59 μB/f.u.

Cell: 4.055 4.055 9.880 Å, 78.16 78.16 60.00°
Site moments in Bohr magnetons follow the coordinates.
Fractional coordinates of all 4 atoms:
Sm1 0.500 0.500 0.499  0.12
Bi1 0.666 0.666 0.001  0.00
Dy1 0.264 0.264 0.209  0.03
Dy2 0.070 0.070 0.791  0.14

(10)
# SrLiMgAu2

Crystalline SrLiMgAu2 at its relaxed geometry (PBE, Alexandria).

Output
Calculated volume   23.25 Å³ per atom
Space group   I-4m2 (119)
Formation energy from the elements   -628.2 meV per atom
Crystal system   tetragonal
ΔE to the lowest computed polymorph   0.0000 eV per atom
DOS at the Fermi energy   2.0 states/eV/cell
Magnetic moment   0.00 μB/f.u.

Cell: 4.261 4.261 7.075 Å, 107.53 107.53 90.00°
Fractional coordinates of all 5 atoms:
Au1 0.387 0.387 0.775
Au2 0.613 0.613 0.225
Li1 0.250 0.750 0.500
Mg1 0.750 0.250 0.500
Sr1 0.000 0.000 0.000

(11)
# Tb6Nd12Ho

Crystalline Tb6Nd12Ho at its relaxed geometry (PBE, Alexandria).

Output
Calculated volume   35.37 Å³ per atom
Space group   R-3 (148)
Formation energy from the elements   232.9 meV per atom
Crystal system   trigonal
ΔE to the lowest computed polymorph   0.1008 eV per atom
DOS at the Fermi energy   29.9 states/eV/cell
Magnetic moment   0.00 μB/f.u.

Cell: 9.282 9.282 9.282 Å, 106.66 106.66 106.66°
Fractional coordinates of all 19 atoms:
Tb1 0.920 0.808 0.549
Tb2 0.080 0.192 0.451
Tb3 0.451 0.080 0.192
Tb4 0.549 0.920 0.808
Tb5 0.808 0.549 0.920
Tb6 0.192 0.451 0.080
Nd1 0.808 0.417 0.515
Nd2 0.825 0.279 0.130
Nd3 0.721 0.870 0.175
Nd4 0.279 0.130 0.825
Nd5 0.515 0.808 0.417
Nd6 0.417 0.515 0.808
Nd7 0.192 0.583 0.485
Nd8 0.485 0.192 0.583
Nd9 0.175 0.721 0.870
Nd10 0.583 0.485 0.192
Nd11 0.130 0.825 0.279
Nd12 0.870 0.175 0.721
Ho1 0.000 0.000 0.000

(12)
# Ir2OsBr

Crystalline Ir2OsBr at its relaxed geometry (PBE, Alexandria).

Output
Calculated volume   15.89 Å³ per atom
E_form (uncorrected)   0.953 eV/atom
Space group   C2/m (12)
Crystal system   monoclinic
ΔE to the lowest computed polymorph   0.3465 eV per atom
DOS at the Fermi energy   2.9 states/eV/cell
Magnetic moment   0.00 μB/f.u.

Cell: 5.129 5.129 4.540 Å, 86.26 86.26 32.24°
Fractional coordinates of all 4 atoms:
Os1 0.750 0.750 0.750
Ir1 0.473 0.473 0.517
Ir2 0.027 0.027 0.983
Br1 0.250 0.250 0.250